1.
Here is crystalline PPb2Se at its relaxed geometry from Alexandria via LeMat-Bulk. Energies are from GGA-PBE.

a b c (Å): 3.7231 3.7231 9.8268
angles (deg): 90.00 90.00 120.00
Space group P-6m2 (No. 187)
Inequivalent atoms, fractional coordinates:
P: 0.0000 0.0000 0.0000 [1 per cell]
Pb: 0.0000 0.0000 0.2849 [2 per cell]
Se: 0.6667 0.3333 0.5000 [1 per cell]

Values from the calculation:
**Total magnetic moment**: 0.00 μB/f.u.
**Relative energy among the computed polymorphs**: 13.25 kcal/mol of atoms
**E_form (uncorrected)**: 1.7 eV per formula unit


2.
Here is crystalline Ho3ScIr2 at its relaxed geometry from Alexandria via LeMat-Bulk. Energies are from GGA-PBE.

a b c (Å): 6.604 13.271 7.010
angles (deg): 90.00 90.00 90.00
Space group Ibam (No. 72)
Inequivalent atoms, fractional coordinates:
Ho: 0.000 0.000 0.250 [4 per cell]
Ho: 0.000 0.270 0.250 [8 per cell]
Sc: 0.000 0.500 0.000 [4 per cell]
Ir: 0.218 0.135 0.000 [8 per cell]

Values from the calculation:
**Total magnetic moment**: 0.00 μB/f.u.
**Formation energy from the elements**: -4.00 eV/f.u.
**Relative energy among the computed polymorphs**: 0.00 kcal/mol of atoms